1.
The following is a DFT calculation (PBE) of an optimized crystal structure of NaBiIr3.

Values from the calculation:
As for the energy above the most stable polymorph in this dataset: 0.0 meV per atom.

Geometry as CIF:
```
data_NaBiIr3
_chemical_formula_sum 'Na1 Bi1 Ir3'
_symmetry_space_group_name_H-M 'P 1'
_symmetry_Int_Tables_number 1
_symmetry_space_group_name_Hall 'P 1'
_cell_length_a 5.055
_cell_length_b 5.055
_cell_length_c 5.055
_cell_angle_alpha 90.00
_cell_angle_beta 90.00
_cell_angle_gamma 90.00
loop_
_atom_site_label
_atom_site_fract_x
_atom_site_fract_y
_atom_site_fract_z
Na1 0.500 0.500 0.500
Ir1 0.000 0.500 0.000
Ir2 0.000 0.000 0.500
Ir3 0.500 0.000 0.000
Bi1 0.000 0.000 0.000
```

***

2.
The following is a DFT calculation (PBE) of an optimized crystal structure of Na3BiIr.

Values from the calculation:
As for the energy above the most stable polymorph in this dataset: 269.0 meV per atom.

Geometry as CIF:
```
data_Na3BiIr
_chemical_formula_sum 'Na3 Bi1 Ir1'
_symmetry_space_group_name_H-M 'P 1'
_symmetry_Int_Tables_number 1
_symmetry_space_group_name_Hall 'P 1'
_cell_length_a 5.883
_cell_length_b 5.883
_cell_length_c 5.883
_cell_angle_alpha 90.00
_cell_angle_beta 90.00
_cell_angle_gamma 90.00
loop_
_atom_site_label
_atom_site_fract_x
_atom_site_fract_y
_atom_site_fract_z
Na1 0.000 0.500 0.000
Na2 0.000 0.000 0.500
Na3 0.500 0.000 0.000
Ir1 0.500 0.500 0.500
Bi1 0.000 0.000 0.000
```

***

3.
The following is a DFT calculation (PBE) of an optimized crystal structure of NaNiBi2Ir.

Geometry as CIF:
```
data_NaNiBi2Ir
_chemical_formula_sum 'Na1 Ni1 Bi2 Ir1'
_symmetry_space_group_name_H-M 'P 1'
_symmetry_Int_Tables_number 1
_symmetry_space_group_name_Hall 'P 1'
_cell_length_a 4.965
_cell_length_b 4.660
_cell_length_c 4.965
_cell_angle_alpha 90.00
_cell_angle_beta 90.00
_cell_angle_gamma 90.00
loop_
_atom_site_label
_atom_site_fract_x
_atom_site_fract_y
_atom_site_fract_z
Ni1 0.000 0.000 0.000
Ir1 0.500 0.500 0.500
Bi1 0.000 0.000 0.500
Bi2 0.500 0.000 0.000
Na1 0.000 0.500 0.000
```

***

Number 1: energy of formation 1.711 eV per atom. Number 2: energy of formation 1.016 eV per atom. Number 3: energy of formation 0.689 eV per atom.